No. 1
The following is a DFT calculation (PBE) of In12AgSn6 after structural relaxation.

Summary:
energy of formation	35	meV/atom
electronic total energy	-177.2	eV/cell

a = 14.7385 Å, b = 14.7385 Å, c = 8.1263 Å
α = 90.00°, β = 90.00°, γ = 120.00°
Space group R-3 (No. 148, hexagonal axes)
Inequivalent atoms, fractional coordinates:
1 In 0.0328 0.7528 0.3379 (multiplicity 18)
2 In 0.0747 0.5111 0.6662 (multiplicity 18)
3 Ag 0.0000 0.0000 0.0000 (multiplicity 3)
4 Sn 0.0161 0.8793 0.6725 (multiplicity 18)

No. 2
The following is a DFT calculation (PBE) of In3AgSn after structural relaxation.

Summary:
energy of formation	73	meV/atom
electronic total energy	-58.8	eV/cell
energy above the most stable polymorph in this dataset	0.027	eV per formula unit

a = 10.782 Å, b = 9.124 Å, c = 6.587 Å
α = 90.00°, β = 124.28°, γ = 90.00°
Space group C2/m (No. 12)
Inequivalent atoms, fractional coordinates:
1 In 0.046 0.000 0.272 (multiplicity 4)
2 In 0.208 0.208 0.720 (multiplicity 8)
3 Ag 0.237 0.500 0.876 (multiplicity 4)
4 Sn 0.075 0.500 0.318 (multiplicity 4)

No. 3
The following is a DFT calculation (PBE) of In2Ag7Sn2 after structural relaxation.

Summary:
energy of formation	67	meV/atom
electronic total energy	-65.4	eV/cell
energy above the most stable polymorph in this dataset	0.000	eV per formula unit

a = 9.189 Å, b = 7.697 Å, c = 7.547 Å
α = 90.00°, β = 116.25°, γ = 90.00°
Space group C2/m (No. 12)
Inequivalent atoms, fractional coordinates:
1 In 0.158 0.000 0.372 (multiplicity 4)
2 Ag 0.000 0.500 0.500 (multiplicity 2)
3 Ag 0.146 0.188 0.698 (multiplicity 8)
4 Ag 0.228 0.500 0.933 (multiplicity 4)
5 Sn 0.000 0.272 0.000 (multiplicity 4)

No. 4
The following is a DFT calculation (PBE) of InAg6Sn after structural relaxation.

Summary:
energy of formation	-8	meV/atom
electronic total energy	-23.9	eV/cell

a = 6.0826 Å, b = 6.0826 Å, c = 4.7967 Å
α = 90.00°, β = 90.00°, γ = 120.00°
Space group P-6m2 (No. 187)
Inequivalent atoms, fractional coordinates:
1 In 0.0000 0.0000 0.0000 (multiplicity 1)
2 Ag 0.3362 0.1681 0.5000 (multiplicity 3)
3 Ag 0.5032 0.0064 0.0000 (multiplicity 3)
4 Sn 0.3333 0.6667 0.5000 (multiplicity 1)